# 1
DFT (PBE) results for crystalline NdThMnN4 at its relaxed geometry.

Lattice parameters (Å, degrees): 3.719 3.719 6.919 105.59 105.59 90.00
Fractional positions:
N (0.997, 0.497, 0.994)
N (0.174, 0.174, 0.348)
N (0.833, 0.833, 0.665)
N (0.497, 0.997, 0.994)
Nd (0.644, 0.644, 0.289)
Mn (0.999, 0.999, 0.998)
Th (0.355, 0.355, 0.711)

Summary:
size of the total moment	0.00	μB per cell
total energy	-61.60	eV for the cell shown
SG	I4mm (107)
formation energy without anion corrections	-991	meV/atom

# 2
DFT (PBE) results for crystalline BaY2Al at its relaxed geometry.

Lattice parameters (Å, degrees): 5.951 5.951 11.213 74.61 74.61 90.00
Each line ends with the local moment (μB).
Fractional positions:
Al (0.500, 0.500, 0.000)  0.00
Al (0.250, 0.750, 0.500)  0.00
Ba (0.750, 0.250, 0.500)  0.05
Ba (0.000, 0.000, 0.000)  0.05
Y (0.374, 0.125, 0.250)  0.16
Y (0.376, 0.625, 0.250)  0.17
Y (0.875, 0.624, 0.750)  0.16
Y (0.375, 0.626, 0.750)  0.16

Summary:
size of the total moment	1.77	μB per cell
total energy	-32.14	eV for the cell shown
SG	I4_1/amd (141)
formation energy	0.631	eV/atom

# 3
DFT (PBE) results for crystalline LaMn2Tc at its relaxed geometry.

Lattice parameters (Å, degrees): 9.605 9.605 9.605 17.88 17.88 17.88
Each line ends with the local moment (μB).
Fractional positions:
La (0.750, 0.750, 0.750)  -0.49
Mn (0.986, 0.986, 0.986)  3.21
Mn (0.514, 0.514, 0.514)  3.21
Tc (0.250, 0.250, 0.250)  -0.31

Summary:
E above lowest polymorph	435	meV/atom
size of the total moment	5.76	μB per cell
total energy	-31.12	eV for the cell shown
SG	R-3m (166)
formation energy	0.627	eV/atom

# 4
DFT (PBE) results for crystalline TePtPb2 at its relaxed geometry.

Lattice parameters (Å, degrees): 6.684 6.684 6.684 148.19 134.95 56.20
Fractional positions:
Pb (0.996, 0.996, 0.000)
Pb (0.688, 0.188, 0.500)
Pt (0.496, 0.496, 0.000)
Te (0.320, 0.820, 0.500)

Summary:
size of the total moment	0.00	μB per cell
total energy	-16.92	eV for the cell shown
SG	Imm2 (44)
formation energy without anion corrections	-80	meV/atom

# 5
DFT (PBE) results for crystalline Ba5Rh2Cl2 at its relaxed geometry.

Lattice parameters (Å, degrees): 8.654 8.659 9.368 90.00 62.49 90.00
Fractional positions:
Rh (0.363, 0.864, 0.000)
Rh (0.863, 0.636, 0.000)
Rh (0.637, 0.136, 0.000)
Rh (0.137, 0.364, 0.000)
Ba (0.781, 0.845, 0.754)
Ba (0.035, 0.655, 0.246)
Ba (0.535, 0.845, 0.246)
Ba (0.719, 0.345, 0.246)
Ba (0.465, 0.155, 0.754)
Ba (0.500, 0.500, 0.000)
Ba (0.281, 0.655, 0.754)
Ba (0.965, 0.345, 0.754)
Ba (0.000, 0.000, 0.000)
Ba (0.219, 0.155, 0.246)
Cl (0.701, 0.500, 0.598)
Cl (0.201, 0.000, 0.598)
Cl (0.299, 0.500, 0.402)
Cl (0.799, 0.000, 0.402)

Summary:
size of the total moment	0.00	μB per cell
total energy	-72.06	eV for the cell shown
SG	Cmce (64)
formation energy without anion corrections	-891	meV/atom

# 6
DFT (PBE) results for crystalline Tb2ScCu3 at its relaxed geometry.

Lattice parameters (Å, degrees): 3.401 3.401 10.268 90.00 90.00 90.00
Fractional positions:
Sc (0.500, 0.500, 0.500)
Cu (0.000, 0.000, 0.356)
Cu (0.000, 0.000, 0.644)
Cu (0.000, 0.000, 0.000)
Tb (0.500, 0.500, 0.826)
Tb (0.500, 0.500, 0.174)

Summary:
size of the total moment	0.00	μB per cell
total energy	-29.33	eV for the cell shown
SG	P4/mmm (123)
formation energy	-0.242	eV/atom

# 7
DFT (PBE) results for crystalline CdInGaRu2 at its relaxed geometry.

Lattice parameters (Å, degrees): 5.043 5.104 5.043 90.00 90.00 90.00
Each line ends with the local moment (μB).
Fractional positions:
In (0.000, 0.500, 0.000)  0.01
Cd (0.000, 0.000, 0.000)  -0.01
Ru (0.000, 0.000, 0.500)  2.01
Ru (0.500, 0.000, 0.000)  1.78
Ga (0.500, 0.500, 0.500)  0.01

Summary:
size of the total moment	3.95	μB per cell
total energy	-16.89	eV for the cell shown
SG	P4/mmm (123)
formation energy	1.668	eV/atom

# 8
DFT (PBE) results for crystalline ZrAgMo at its relaxed geometry.

Lattice parameters (Å, degrees): 4.502 4.502 4.502 60.00 60.00 60.00
Fractional positions:
Ag (0.750, 0.750, 0.750)
Zr (0.500, 0.500, 0.500)
Mo (0.000, 0.000, 0.000)

Summary:
E above lowest polymorph	1000	meV/atom
size of the total moment	0.00	μB per cell
total energy	-19.36	eV for the cell shown
SG	F-43m (216)
formation energy	0.956	eV/atom